The following is a GGA-PBE calculation of crystalline Ta2ReHg at its relaxed geometry, from Alexandria via LeMat-Bulk.

Summary:
- ΔE_f: 0.244 eV/atom
- Magnetic moment: 0.0 Bohr magnetons per cell
- E: -35.5 eV per cell
- Volume: 17.96 A^3/atom

abc: 3.353 3.353 6.388
angles: 90.00 90.00 90.00
Space group P4mm (No. 99)
Unique sites:
Ta  0.000  0.000  0.000 (multiplicity 1)
Ta  0.500  0.500  0.244 (multiplicity 1)
Re  0.500  0.500  0.788 (multiplicity 1)
Hg  0.000  0.000  0.515 (multiplicity 1)